(1)
The following is a DFT calculation (GGA-PBE) of a relaxed structure of HgH12C2Br4N6.

Results
* raw total energy: -5.029 eV/atom

Lattice parameters (Å, degrees): 7.468 7.468 13.038 104.85 104.85 96.02
Atoms (fractional coordinates):
Hg 0.215 0.785 0.750
Hg 0.785 0.215 0.250
H 0.013 0.688 0.116
H 0.117 0.422 0.145
H 0.143 0.842 0.069
H 0.158 0.857 0.431
H 0.202 0.557 0.440
H 0.312 0.987 0.384
H 0.338 0.379 0.136
H 0.379 0.338 0.636
H 0.382 0.460 0.397
H 0.422 0.117 0.645
H 0.443 0.798 0.060
H 0.460 0.382 0.897
H 0.540 0.618 0.103
H 0.557 0.202 0.940
H 0.578 0.883 0.355
H 0.618 0.540 0.603
H 0.621 0.662 0.364
H 0.662 0.621 0.864
H 0.688 0.013 0.616
H 0.798 0.443 0.560
H 0.842 0.143 0.569
H 0.857 0.158 0.931
H 0.883 0.578 0.855
H 0.987 0.312 0.884
C 0.264 0.620 0.100
C 0.380 0.736 0.400
C 0.620 0.264 0.600
C 0.736 0.380 0.900
Br 0.017 0.223 0.440
Br 0.168 0.436 0.775
Br 0.223 0.017 0.940
Br 0.436 0.168 0.275
Br 0.564 0.832 0.725
Br 0.777 0.983 0.060
Br 0.832 0.564 0.225
Br 0.983 0.777 0.560
N 0.125 0.719 0.089
N 0.242 0.465 0.132
N 0.281 0.875 0.411
N 0.328 0.578 0.424
N 0.422 0.672 0.076
N 0.465 0.242 0.632
N 0.535 0.758 0.368
N 0.578 0.328 0.924
N 0.672 0.422 0.576
N 0.719 0.125 0.589
N 0.758 0.535 0.868
N 0.875 0.281 0.911

---

(2)
The following is a DFT calculation (GGA-PBE) of a relaxed structure of Ac2Ta2O5.

Results
* raw total energy: -7.424 eV/atom
* ΔE to the lowest computed polymorph: 12.28 eV/f.u.

Lattice parameters (Å, degrees): 3.809 3.809 10.143 90.00 90.00 90.00
Atoms (fractional coordinates):
Ac 0.000 0.000 0.238
Ac 0.000 0.000 0.762
Ta 0.500 0.500 0.000
Ta 0.500 0.500 0.500
O 0.000 0.000 0.500
O 0.000 0.500 0.368
O 0.000 0.500 0.632
O 0.500 0.000 0.368
O 0.500 0.000 0.632

---

(3)
The following is a DFT calculation (GGA-PBE) of a relaxed structure of BaGdSn2.

Results
* raw total energy: -3.577 eV/atom

Lattice parameters (Å, degrees): 3.510 6.594 12.862 90.00 90.00 90.00
Atoms (fractional coordinates):
Ba 0.000 0.000 0.000
Ba 0.000 0.500 0.500
Gd 0.000 0.000 0.717
Gd 0.000 0.500 0.217
Sn 0.000 0.000 0.264
Sn 0.000 0.000 0.485
Sn 0.000 0.500 0.764
Sn 0.000 0.500 0.985